19
Lattice="7.7378 0.0000 0.0000 0.0000 7.7378 0.0000 0.0000 0.0000 5.2139" Properties=species:S:1:pos:R:3 comment="MgSi2Ag8O8, optimized geometry, DFT GGA-PBE" raw_formation_energy_ev_per_atom=-0.995 dft_energy_ha_per_atom=-0.181 dos_at_fermi_per_ev_fu=4.4 pbc="T T T"
Mg 0.0000 0.0000 0.0000
Si 0.0000 0.0000 2.6070
Si 3.8689 3.8689 0.0000
Ag 0.9970 2.8841 0.6154
Ag 1.7456 4.8507 2.5676
Ag 2.8871 1.7456 2.6463
Ag 2.8841 6.7408 4.5985
Ag 4.8537 0.9970 4.5985
Ag 4.8507 5.9921 2.6463
Ag 5.9921 2.8871 2.5676
Ag 6.7408 4.8537 0.6154
O 0.4235 6.5372 1.5383
O 1.2006 0.4235 3.6756
O 2.5090 3.5854 4.2863
O 3.5854 5.2287 0.9277
O 4.1524 2.5090 0.9277
O 5.2287 4.1524 4.2863
O 6.5372 7.3143 3.6756
O 7.3143 1.2006 1.5383

=====

5
Lattice="5.0844 0.0000 0.0000 0.0000 5.0844 0.0000 0.0000 0.0000 5.8684" Properties=species:S:1:pos:R:3 comment="HgMoPdCl2, optimized geometry, DFT GGA-PBE" polymorph_energy_mev_per_atom=571 raw_formation_energy_ev_per_atom=1.200 dft_energy_ha_per_atom=-0.103 dos_at_fermi_per_ev_fu=2.4 pbc="T T T"
Hg 0.0000 0.0000 0.0000
Mo 0.0000 0.0000 2.9342
Pd 2.5422 2.5422 2.9342
Cl 0.0000 2.5422 0.0000
Cl 2.5422 0.0000 0.0000

=====

8
Lattice="4.6881 0.0000 0.0000 0.0000 4.7034 0.0000 0.0000 0.0000 9.4185" Properties=species:S:1:pos:R:3 comment="Pu3In2Sn3, optimized geometry, DFT GGA-PBE" formation_energy_ev_per_atom=-0.25 dft_energy_ha_per_atom=-0.287 dos_at_fermi_per_ev_fu=32.6 pbc="T T T"
Pu 0.0000 0.0000 0.0000
Pu 2.3440 0.0000 2.4776
Pu 2.3440 0.0000 6.9409
In 0.0000 2.3517 2.3212
In 0.0000 2.3517 7.0973
Sn 0.0000 0.0000 4.7092
Sn 2.3440 2.3517 0.0000
Sn 2.3440 2.3517 4.7092

=====

5
Lattice="4.1471 0.0000 0.0000 0.0000 4.1471 0.0000 0.0000 0.0000 4.1471" Properties=species:S:1:pos:R:3 comment="NbCoC3, optimized geometry, DFT GGA-PBE" polymorph_energy_mev_per_atom=602 formation_energy_ev_per_atom=2.32 dft_energy_ha_per_atom=-0.244 dos_at_fermi_per_ev_fu=4.8 pbc="T T T"
Nb 0.0000 0.0000 0.0000
Co 2.0736 2.0736 2.0736
C 0.0000 0.0000 2.0736
C 0.0000 2.0736 0.0000
C 2.0736 0.0000 0.0000

=====

10
Lattice="6.7669 0.0000 0.0000 -0.4142 6.8464 0.0000 -2.9937 -2.6934 7.3518" Properties=species:S:1:pos:R:3 comment="KTl3Pb, optimized geometry, DFT GGA-PBE" polymorph_energy_mev_per_atom=0 formation_energy_ev_per_atom=-0.06 dft_energy_ha_per_atom=-0.090 dos_at_fermi_per_ev_fu=2.3 pbc="T T T"
K 0.0000 0.0000 0.0000
K 1.2401 -0.9057 4.2628
Tl -2.0258 0.2714 5.5092
Tl -0.7293 2.1009 2.9910
Tl 1.5793 3.8765 1.2865
Tl 2.6971 2.5826 4.1612
Tl 5.0139 3.3977 0.0638
Tl 4.2986 5.1716 2.7678
Pb -0.0742 2.8654 6.1484
Pb 3.2885 0.9488 1.3302

=====

4
Lattice="3.2250 0.0000 0.0000 0.0000 3.2250 0.0000 0.0000 0.0000 6.9535" Properties=species:S:1:pos:R:3 comment="YMgNi2, optimized geometry, DFT GGA-PBE" formation_energy_ev_per_atom=-0.07 dft_energy_ha_per_atom=-0.183 dos_at_fermi_per_ev_fu=4.9 pbc="T T T"
Y 0.0000 0.0000 0.0000
Mg 1.6125 1.6125 2.6734
Ni 0.0000 0.0000 4.2097
Ni 1.6125 1.6125 5.2679